[1]
RbBa2CaGa, optimized geometry, DFT PBE-GGA; crystal system = tetragonal; ΔE_f = -0.040 eV per atom
1.0
-4.193 -5.185 0.806
4.569 -3.100 3.826
-2.349 2.672 4.971
Ga Rb Ca Ba
1 1 1 2
Cartesian
0.000 0.000 0.000
-0.987 -2.807 4.801
-1.175 1.336 2.485
-2.097 -2.593 0.403
2.284 -1.550 1.913

***

[2]
CsC4, optimized geometry, DFT PBE-GGA; crystal system = tetragonal; ΔE_f = 2.038 eV per atom
1.0
-3.545 3.545 2.119
3.545 -3.545 2.119
3.545 3.545 -2.119
Cs C
1 4
Cartesian
0.000 0.000 0.000
0.000 2.892 2.119
2.892 0.000 2.119
0.653 3.545 0.000
3.545 0.653 0.000

***

[3]
TaCuHg2, optimized geometry, DFT PBE-GGA; crystal system = tetragonal; ΔE_f = 0.253 eV per atom
1.0
-2.848 -0.803 0.594
-0.355 -0.865 -2.869
2.510 -7.469 1.940
Hg Ta Cu
2 1 1
Cartesian
2.415 -7.188 1.867
-0.934 -2.821 -0.621
1.339 -3.984 1.035
0.252 -6.347 0.294

***

[4]
SbOs2Pt, optimized geometry, DFT PBE-GGA; uncorrected formation energy = 89.3 kJ/mol of atoms; crystal system = orthorhombic
1.0
-2.041 -1.222 -1.581
2.464 -1.362 0.483
-3.758 -3.988 7.933
Sb Os Pt
1 2 1
Cartesian
-2.607 -4.283 5.401
-1.841 -1.953 3.886
-0.038 -0.041 0.081
-0.728 -2.289 1.434

***

[5]
SrRuCl2, optimized geometry, DFT PBE-GGA; uncorrected formation energy = -60.5 kJ/mol of atoms; crystal system = trigonal; energy relative to the lowest polymorph listed for this composition = 113 meV per atom
1.0
-5.359 -1.579 1.269
-4.229 -2.601 -2.859
-2.723 -5.016 0.496
Sr Cl Ru
1 2 1
Cartesian
-9.233 -6.898 -0.820
-12.103 -9.042 -1.075
-6.363 -4.754 -0.565
-3.078 -2.299 -0.273

***

[6]
TcHgTeN2, optimized geometry, DFT PBE-GGA; uncorrected formation energy = 242.4 kJ/mol of atoms; crystal system = tetragonal; energy relative to the lowest polymorph listed for this composition = 1900 meV per atom
1.0
-0.317 -0.687 3.932
-3.637 -1.575 -0.568
2.748 -6.046 -0.835
N Tc Hg Te
2 1 1 1
Cartesian
-1.818 -0.787 -0.284
-0.158 -0.344 1.966
-0.603 -4.154 1.264
0.000 0.000 0.000
1.374 -3.023 -0.418

***

[7]
CoNiPt, optimized geometry, DFT PBE-GGA; crystal system = monoclinic; energy relative to the lowest polymorph listed for this composition = 149 meV per atom; ΔE_f = 0.063 eV per atom
1.0
2.315 0.009 1.266
0.736 4.018 1.415
-0.742 1.017 4.137
Pt Co Ni
1 1 1
Cartesian
2.195 3.485 4.321
0.757 1.566 1.422
-0.434 1.040 3.615

***

[8]
La8Ir5Pt, optimized geometry, DFT PBE-GGA; crystal system = tetragonal; ΔE_f = -0.779 eV per atom
1.0
7.374 0.000 -2.590
-3.653 6.396 -2.613
-0.067 0.000 7.815
La Ir Pt
8 5 1
Cartesian
1.403 5.595 2.948
3.226 2.340 4.261
-1.859 4.807 1.548
-0.477 0.801 5.578
0.864 1.582 1.602
1.422 4.056 -0.937
-1.925 4.815 5.503
4.517 1.589 0.353
3.653 0.000 2.613
2.241 0.771 6.509
3.193 3.991 1.335
3.231 5.625 -2.596
-1.358 2.405 -0.023
-0.034 3.198 3.908